# 1
CrHgOs2 (PBE, optimized geometry); V = 15.63 Å³ per atom; DFT total energy = -29.29 eV/cell; symmetry = Cmm2; energy of formation from the pure elements = 298.2 kJ/mol of formula units
1.0
2.7358 0.0067 0.0000
-1.2723 2.4219 0.0000
0.0000 0.0000 9.4207
Hg Os Cr
1 2 1
Cartesian
0.7317 1.2143 6.9762
0.0000 0.0000 0.1717
0.7317 1.2143 2.4757
0.0000 0.0000 4.5074

# 2
Ta2CrHgOs (PBE, optimized geometry); V = 21.40 Å³ per atom; DFT total energy = -38.79 eV/cell; symmetry = P4/mmm; energy of formation from the pure elements = 585.3 kJ/mol of formula units
1.0
4.8808 0.0000 0.0000
0.0000 4.4917 0.0000
0.0000 0.0000 4.8808
Os Cr Ta Hg
1 1 2 1
Cartesian
0.0000 0.0000 0.0000
0.0000 2.2459 0.0000
0.0000 0.0000 2.4404
2.4404 0.0000 0.0000
2.4404 2.2459 2.4404

# 3
CrHg2TeOs (PBE, optimized geometry); V = 30.98 Å³ per atom; DFT total energy = -16.71 eV/cell; uncorrected formation energy = 7.88 eV/f.u.; symmetry = P4/mmm
1.0
-4.9650 2.3843 1.0920
-1.4859 -4.1167 2.2326
1.9984 1.9259 4.8812
Cr Hg Os Te
1 2 1 1
Cartesian
-2.2263 0.0967 4.1029
-2.4825 1.1921 0.5460
0.9992 0.9629 2.4406
-0.7430 -2.0584 1.1163
0.0000 0.0000 0.0000

# 4
TiCr2HgOs (PBE, optimized geometry); V = 21.19 Å³ per atom; DFT total energy = -34.06 eV/cell; symmetry = P4/mmm; energy of formation from the pure elements = 445.0 kJ/mol of formula units
1.0
-1.4633 -3.5566 2.7224
4.1834 0.0368 2.2966
-1.7325 3.0905 3.1063
Cr Hg Ti Os
2 1 1 1
Cartesian
-0.8662 1.5453 1.5532
-0.7316 -1.7783 1.3612
0.4938 -0.2147 4.0627
2.0917 0.0184 1.1483
0.0000 0.0000 0.0000

# 5
TiCrHg2Os (PBE, optimized geometry); V = 20.78 Å³ per atom; DFT total energy = -20.28 eV/cell; symmetry = P4/mmm; energy of formation from the pure elements = 875.4 kJ/mol of formula units
1.0
5.0675 0.0000 0.0000
0.0000 4.0458 0.0000
0.0000 0.0000 5.0675
Hg Os Ti Cr
2 1 1 1
Cartesian
0.0000 0.0000 2.5338
2.5338 0.0000 0.0000
2.5338 2.0229 2.5338
0.0000 0.0000 0.0000
0.0000 2.0229 0.0000

# 6
CrHgOsW2 (PBE, optimized geometry); V = 22.69 Å³ per atom; DFT total energy = -29.44 eV/cell; symmetry = P4/mmm; energy of formation from the pure elements = 1699.9 kJ/mol of formula units
1.0
4.8496 0.0000 0.0000
0.0000 4.8496 0.0000
0.0000 0.0000 4.8241
W Hg Cr Os
2 1 1 1
Cartesian
0.0000 2.4248 0.0000
2.4248 0.0000 0.0000
0.0000 0.0000 0.0000
2.4248 2.4248 2.4120
0.0000 0.0000 2.4120

no.,size of the total moment (Bohr magnetons per cell)
1,0.00
2,0.00
3,3.82
4,5.87
5,2.61
6,0.21